# CeIn2SnTe4

A geometry-optimized CeIn2SnTe4 structure (GGA-PBE, Alexandria).

Cell: 7.949 4.502 8.165 Å, 90.00 108.48 90.00°
Space group P2/m (No. 10)
Unique sites:
Ce  0.000  0.000  0.000 [1 per cell]
In  0.000  0.500  0.500 [1 per cell]
In  0.500  0.000  0.500 [1 per cell]
Sn  0.500  0.500  0.000 [1 per cell]
Te  0.236  0.500  0.229 [2 per cell]
Te  0.245  0.000  0.767 [2 per cell]

Values from the calculation:
Magnetic moment (μB/f.u.): 0.40
DOS(E_F) (states/eV per cell): 5.5
Final energy (eV per formula unit): -32.76
Raw formation energy (meV/atom): -597


# CsAgBiF6

A geometry-optimized CsAgBiF6 structure (GGA-PBE, Alexandria).

Cell: 5.675 6.055 6.372 Å, 116.44 90.63 90.19°
Space group P1 (No. 1)
Unique sites:
Cs  0.000  0.000  0.000 [1 per cell]
Ag  0.561  0.328  0.678 [1 per cell]
Bi  0.519  0.676  0.334 [1 per cell]
F  0.371  0.331  0.308 [1 per cell]
F  0.371  0.607  0.962 [1 per cell]
F  0.380  0.030  0.696 [1 per cell]
F  0.730  0.608  0.601 [1 per cell]
F  0.768  0.027  0.437 [1 per cell]
F  0.805  0.498  0.107 [1 per cell]

Values from the calculation:
Magnetic moment (μB/f.u.): 1.00
Final energy (eV per formula unit): -37.62
Raw formation energy (meV/atom): -2090


# LiSnB

A geometry-optimized LiSnB structure (GGA-PBE, Alexandria).

Cell: 3.101 3.781 16.218 Å, 90.00 90.00 90.00°
Space group Imma (No. 74)
Unique sites:
Li  0.000  0.250  0.183 [4 per cell]
Sn  0.000  0.250  0.576 [4 per cell]
B  0.000  0.250  0.735 [4 per cell]

Values from the calculation:
Magnetic moment (μB/f.u.): 0.00
DOS(E_F) (states/eV per cell): 3.0
Final energy (eV per formula unit): -12.76
Formation energy from the elements (eV per atom): -0.06
Excess energy over the best structure of this formula in the dataset (meV/atom): 33.9


# NbInPS2

A geometry-optimized NbInPS2 structure (GGA-PBE, Alexandria).

Cell: 4.954 4.954 4.908 Å, 90.00 90.00 90.00°
Space group P4/mmm (No. 123)
Unique sites:
Nb  0.000  0.000  0.000 [1 per cell]
In  0.500  0.500  0.500 [1 per cell]
P  0.500  0.500  0.000 [1 per cell]
S  0.000  0.500  0.500 [2 per cell]

Values from the calculation:
Magnetic moment (μB/f.u.): 1.87
DOS(E_F) (states/eV per cell): 5.7
Final energy (eV per formula unit): -21.54
Raw formation energy (meV/atom): 987
Excess energy over the best structure of this formula in the dataset (meV/atom): 1206.8


# SrNdRu2O8

A geometry-optimized SrNdRu2O8 structure (GGA-PBE, Alexandria).

Cell: 5.9397 5.9397 7.3668 Å, 90.00 90.00 120.00°
Space group P-3m1 (No. 164)
Unique sites:
Sr  0.0000  0.0000  0.0000 [1 per cell]
Nd  0.0000  0.0000  0.5000 [1 per cell]
Ru  0.3333  0.6667  0.8005 [2 per cell]
O  0.1644  0.3289  0.7216 [6 per cell]
O  0.3333  0.6667  0.0406 [2 per cell]

Values from the calculation:
Magnetic moment (μB/f.u.): 3.01
DOS(E_F) (states/eV per cell): 5.9
Final energy (eV per formula unit): -84.08
Raw formation energy (meV/atom): -1618


# Zr6Bi2Sb

A geometry-optimized Zr6Bi2Sb structure (GGA-PBE, Alexandria).

Cell: 4.018 13.596 7.847 Å, 90.00 90.00 90.00°
Space group Amm2 (No. 38)
Unique sites:
Zr  0.000  0.000  0.000 [2 per cell]
Zr  0.000  0.126  0.617 [4 per cell]
Zr  0.500  0.000  0.353 [2 per cell]
Zr  0.500  0.196  0.941 [4 per cell]
Bi  0.000  0.167  0.245 [4 per cell]
Sb  0.500  0.000  0.746 [2 per cell]

Values from the calculation:
Magnetic moment (μB/f.u.): 0.00
DOS(E_F) (states/eV per cell): 14.9
Final energy (eV per formula unit): -66.74
Raw formation energy (meV/atom): -397


Which of these has the lowest final energy? SrNdRu2O8